The following is a PBE calculation of a relaxed structure of AcHo2F8, from Alexandria via LeMat-Bulk.

Results
- symmetry = C2/m (12)
- D(E_F) (states/eV/cell) = 1.95
- uncorrected energy (eV per atom) = -6.4614

Cell and atoms, written as POSCAR:
```
AcHo2F8
1.0
4.287 -0.091 -0.136
-0.835 6.278 -0.098
-0.835 -2.508 5.756
F Ho Ac
8 2 1
direct
0.289 0.612 0.612 F
0.939 0.682 0.944 F
0.939 0.944 0.682 F
0.061 0.318 0.056 F
0.711 0.388 0.388 F
0.500 0.751 0.249 F
0.061 0.056 0.318 F
0.500 0.249 0.751 F
0.000 0.320 0.680 Ho
0.000 0.680 0.320 Ho
0.500 0.000 0.000 Ac
```